Entry 1:
A plane-wave DFT calculation with PBE-GGA was carried out for crystalline ThInPtRh at its relaxed geometry.

abc: 4.9039 4.9039 4.9039
angles: 60.00 60.00 60.00
Fractional coordinates of all 4 atoms:
Rh: 0.2500 0.2500 0.2500
Pt: 0.7500 0.7500 0.7500
Th: 0.0000 0.0000 0.0000
In: 0.5000 0.5000 0.5000

- E_form: -3.08 eV/f.u.


Entry 2:
A plane-wave DFT calculation with PBE-GGA was carried out for crystalline Mg3GaAg12 at its relaxed geometry.

abc: 4.1104 4.1104 16.9268
angles: 90.00 90.00 90.00
Fractional coordinates of all 16 atoms:
Mg: 0.0000 0.0000 0.2474
Mg: 0.0000 0.0000 0.5000
Mg: 0.0000 0.0000 0.7526
Ga: 0.0000 0.0000 0.0000
Ag: 0.5000 0.5000 0.0000
Ag: 0.5000 0.5000 0.2476
Ag: 0.5000 0.5000 0.5000
Ag: 0.5000 0.5000 0.7524
Ag: 0.5000 0.0000 0.1227
Ag: 0.5000 0.0000 0.3738
Ag: 0.5000 0.0000 0.6262
Ag: 0.5000 0.0000 0.8773
Ag: 0.0000 0.5000 0.1227
Ag: 0.0000 0.5000 0.3738
Ag: 0.0000 0.5000 0.6262
Ag: 0.0000 0.5000 0.8773

- E_form: -1.74 eV/f.u.


Among the records above, which one has the highest E_form?
Mg3GaAg12


Which value of E_form does entry 2 give?
-1.74 eV/f.u.


Which value of E_form does entry 2 give?
-1.74 eV/f.u.